(1)
A plane-wave DFT calculation with PBE was carried out for crystalline Cd2AgSe at its relaxed geometry.

Cell lengths 3.8535, 3.7482, 6.0885 Å; angles 90.00, 99.91, 90.00 degrees
Sites, in units of the cell vectors:
Cd (0.0196, 0.0000, 0.2413)
Cd (0.9804, 0.0000, 0.7587)
Ag (0.5000, 0.5000, 0.0000)
Se (0.5000, 0.5000, 0.5000)

Properties
symmetry	P2/m (10)
E_tot	-2.094	eV/atom
E_form (uncorrected)	-0.05	eV/atom
total magnetic moment	0.00	μB/atom

(2)
A plane-wave DFT calculation with PBE was carried out for crystalline BaPuH5 at its relaxed geometry.

Cell lengths 3.7116, 3.7116, 6.2906 Å; angles 90.00, 90.00, 90.17 degrees
Sites, in units of the cell vectors:
Ba (0.0000, 0.0000, 0.0000)
Pu (0.5000, 0.5000, 0.5000)
H (0.0000, 0.0000, 0.5000)
H (0.0000, 0.5000, 0.2834)
H (0.0000, 0.5000, 0.7166)
H (0.5000, 0.0000, 0.2834)
H (0.5000, 0.0000, 0.7166)

Properties
symmetry	Cmmm (65)
E_tot	-5.026	eV/atom
total magnetic moment	0.69	μB/atom

(3)
A plane-wave DFT calculation with PBE was carried out for crystalline TcPOs2 at its relaxed geometry.

Cell lengths 4.6827, 4.6827, 4.6827 Å; angles 132.07, 132.07, 70.11 degrees
Sites, in units of the cell vectors:
Tc (0.0000, 0.0000, 0.0000)
P (0.5000, 0.5000, 0.0000)
Os (0.2500, 0.7500, 0.5000)
Os (0.7500, 0.2500, 0.5000)

Properties
symmetry	I4/mmm (139)
E_form	0.36	eV per atom
E_tot	-9.195	eV/atom
total magnetic moment	0.00	μB/atom

(4)
A plane-wave DFT calculation with PBE was carried out for crystalline BiPIrSN at its relaxed geometry.

Cell lengths 2.9657, 3.6922, 7.6513 Å; angles 90.00, 90.00, 90.00 degrees
Sites, in units of the cell vectors:
Bi (0.0000, 0.0000, 0.0000)
P (0.5000, 0.5000, 0.3491)
Ir (0.5000, 0.0000, 0.5242)
S (0.5000, 0.5000, 0.7307)
N (0.0000, 0.5000, 0.2045)

Properties
symmetry	Pmm2 (25)
distance to the lowest polymorph of the same formula	0.1852	eV/atom
E_tot	-6.090	eV/atom
E_form (uncorrected)	0.03	eV/atom
total magnetic moment	0.00	μB/atom

(5)
A plane-wave DFT calculation with PBE was carried out for crystalline Na2NbBiMo at its relaxed geometry.

Cell lengths 5.3745, 5.3745, 5.2878 Å; angles 90.00, 90.00, 90.00 degrees
Sites, in units of the cell vectors:
Na (0.0000, 0.5000, 0.0000)
Na (0.5000, 0.0000, 0.0000)
Nb (0.0000, 0.0000, 0.5000)
Bi (0.5000, 0.5000, 0.5000)
Mo (0.5000, 0.5000, 0.0000)

Properties
symmetry	P4/mmm (123)
E_form	1.71	eV per atom
E_tot	-3.772	eV/atom
total magnetic moment	0.82	μB/atom

(6)
A plane-wave DFT calculation with PBE was carried out for crystalline SrZn2F6 at its relaxed geometry.

Cell lengths 5.4143, 5.4143, 5.2477 Å; angles 90.00, 90.00, 120.00 degrees
Sites, in units of the cell vectors:
Sr (0.0000, 0.0000, 0.0000)
Zn (0.3333, 0.6667, 0.5000)
Zn (0.6667, 0.3333, 0.5000)
F (0.0000, 0.3634, 0.7160)
F (0.0000, 0.6366, 0.2840)
F (0.3634, 0.0000, 0.7160)
F (0.3634, 0.3634, 0.2840)
F (0.6366, 0.0000, 0.2840)
F (0.6366, 0.6366, 0.7160)

Properties
symmetry	P-31m (162)
distance to the lowest polymorph of the same formula	0.0000	eV/atom
E_tot	-4.584	eV/atom
E_form (uncorrected)	-2.87	eV/atom
total magnetic moment	0.00	μB/atom

(7)
A plane-wave DFT calculation with PBE was carried out for crystalline Tm4BiSbSe2 at its relaxed geometry.

Cell lengths 7.2679, 4.2156, 7.2873 Å; angles 90.00, 109.62, 90.00 degrees
Sites, in units of the cell vectors:
Tm (0.2302, 0.0000, 0.2385)
Tm (0.2345, 0.5000, 0.7492)
Tm (0.7655, 0.5000, 0.2508)
Tm (0.7698, 0.0000, 0.7615)
Bi (0.5000, 0.5000, 0.5000)
Sb (0.5000, 0.0000, 0.0000)
Se (0.0000, 0.0000, 0.5000)
Se (0.0000, 0.5000, 0.0000)

Properties
symmetry	P2/m (10)
E_tot	-5.389	eV/atom
E_form (uncorrected)	-1.28	eV/atom
total magnetic moment	0.00	μB/atom

(8)
A plane-wave DFT calculation with PBE was carried out for crystalline SrAcSe2O8 at its relaxed geometry.

Cell lengths 5.8972, 5.8972, 7.6849 Å; angles 90.00, 90.00, 120.00 degrees
Sites, in units of the cell vectors:
Sr (0.0000, 0.0000, 0.0000)
Ac (0.0000, 0.0000, 0.5000)
Se (0.3333, 0.6667, 0.8020)
Se (0.6667, 0.3333, 0.1980)
O (0.1682, 0.8297, 0.7315)
O (0.1703, 0.3384, 0.7315)
O (0.3333, 0.6667, 0.0186)
O (0.3384, 0.1682, 0.2685)
O (0.6616, 0.8318, 0.7315)
O (0.6667, 0.3333, 0.9814)
O (0.8297, 0.6616, 0.2685)
O (0.8318, 0.1703, 0.2685)

Properties
symmetry	P-3 (147)
E_tot	-5.989	eV/atom
E_form (uncorrected)	-1.62	eV/atom
total magnetic moment	0.00	μB/atom